(1)
Crystalline ErAs3 at its relaxed geometry, computed with PBE-GGA.

Structure (extended XYZ):
```
4
Lattice="3.946 0.000 0.000 0.000 4.177 0.000 0.000 0.000 5.696" Properties=species:S:1:pos:R:3 pbc="T T T"
As 1.973 1.178 0.000
Er 0.000 3.200 0.000
As 1.973 1.857 2.848
As 0.000 3.511 2.848
```


(2)
Crystalline AlTlPt2 at its relaxed geometry, computed with PBE-GGA.

Structure (extended XYZ):
```
4
Lattice="3.057 0.000 0.000 0.000 3.057 0.000 0.000 0.000 7.548" Properties=species:S:1:pos:R:3 pbc="T T T"
Tl 1.529 1.529 1.887
Pt 0.000 0.000 4.191
Al 1.529 1.529 5.661
Pt 0.000 0.000 7.131
```


(3)
Crystalline NbCu2Pd5 at its relaxed geometry, computed with PBE-GGA.

Structure (extended XYZ):
```
16
Lattice="6.625 0.000 0.000 0.000 6.625 0.000 -3.313 -3.313 5.550" Properties=species:S:1:pos:R:3 pbc="T T T"
Nb 0.000 0.000 2.775
Pd 2.294 1.019 1.754
Cu 4.226 0.913 0.000
Cu 0.913 2.399 0.000
Pd -1.019 4.332 3.796
Nb 3.313 3.313 2.775
Pd -1.019 2.294 1.754
Pd 4.332 1.019 3.796
Pd 4.332 -1.019 1.754
Pd 1.019 4.332 1.754
Pd 2.294 -1.019 3.796
Pd 1.019 2.294 3.796
Pd 0.000 0.000 0.000
Cu 2.399 5.712 0.000
Pd 3.313 3.313 0.000
Cu 5.712 4.226 0.000
```


| no. | formation energy from the elements (meV/atom) |
| --- | --- |
| 1 | -633 |
| 2 | -499 |
| 3 | -135 |